Compound: BaTc2O
Source: the Alexandria database
Functional: PBE
Structure: relaxed

abc: 6.3414 6.3414 6.3420
angles: 60.00 60.00 90.00
Last column: magnetic moment on the atom in μB.
Positions (direct):
Tc 0.8750 0.6251 0.7500  0.94
O 0.5000 0.5000 0.0000  0.03
O 0.2500 0.7500 0.5000  0.03
Tc 0.3750 0.6249 0.7500  0.92
Ba 0.0000 0.0000 0.0000  -0.03
Tc 0.3749 0.6250 0.2500  0.90
Ba 0.7500 0.2500 0.5000  -0.02
Tc 0.3751 0.1250 0.2500  0.89

Summary:
E_form (uncorrected): 134 meV per atom